No. 1
This record from Alexandria describes a relaxed structure of CaSc2Zn2. The functional is PBE-GGA.

Unit cell a=6.285 b=6.285 c=6.285 alpha=133.66 beta=133.66 gamma=67.62
Fractional coordinates of all 5 atoms:
Ca 0.000 0.000 0.000
Sc 0.351 0.351 0.000
Sc 0.649 0.649 0.000
Zn 0.250 0.750 0.500
Zn 0.750 0.250 0.500

Properties
excess energy over the best structure of this formula in the dataset	222.2	meV per atom
E_form	0.0682	eV per atom
final energy	-0.1240	hartree per atom

No. 2
This record from Alexandria describes a relaxed structure of CaZr2Sc. The functional is PBE-GGA.

Unit cell a=5.661 b=5.661 c=5.661 alpha=130.62 beta=130.62 gamma=72.42
Fractional coordinates of all 4 atoms:
Ca 0.000 0.000 0.000
Zr 0.500 0.500 0.000
Zr 0.750 0.250 0.500
Sc 0.250 0.750 0.500

Properties
excess energy over the best structure of this formula in the dataset	112.4	meV per atom
E_form	0.2704	eV per atom
final energy	-0.2237	hartree per atom

No. 3
This record from Alexandria describes a relaxed structure of CaZr2Sc. The functional is PBE-GGA.

Unit cell a=5.260 b=5.260 c=5.260 alpha=60.00 beta=60.00 gamma=60.00
Fractional coordinates of all 4 atoms:
Ca 0.000 0.000 0.000
Zr 0.250 0.250 0.250
Zr 0.750 0.750 0.750
Sc 0.500 0.500 0.500

Properties
excess energy over the best structure of this formula in the dataset	260.8	meV per atom
E_form	0.4187	eV per atom
final energy	-0.2182	hartree per atom

No. 4
This record from Alexandria describes a relaxed structure of Ca2ZrSc. The functional is PBE-GGA.

Unit cell a=5.926 b=5.926 c=6.347 alpha=99.80 beta=99.80 gamma=33.29
Fractional coordinates of all 4 atoms:
Ca 0.000 0.000 0.000
Ca 0.237 0.237 0.728
Zr 0.754 0.754 0.264
Sc 0.477 0.477 0.454

Properties
excess energy over the best structure of this formula in the dataset	143.8	meV per atom
E_form	0.2933	eV per atom
final energy	-0.1627	hartree per atom

No. 5
This record from Alexandria describes a relaxed structure of CaZrSc3. The functional is PBE-GGA.

Unit cell a=5.315 b=5.315 c=5.315 alpha=90.00 beta=90.00 gamma=90.00
Fractional coordinates of all 5 atoms:
Ca 0.000 0.000 0.000
Zr 0.500 0.500 0.500
Sc 0.000 0.500 0.500
Sc 0.500 0.000 0.500
Sc 0.500 0.500 0.000

Properties
excess energy over the best structure of this formula in the dataset	0.0	meV per atom
E_form	0.5205	eV per atom
final energy	-0.1980	hartree per atom

No. 6
This record from Alexandria describes a relaxed structure of CaZr2Sc. The functional is PBE-GGA.

Unit cell a=3.203 b=5.248 c=6.551 alpha=90.00 beta=103.18 gamma=90.00
Fractional coordinates of all 4 atoms:
Ca 0.000 0.000 0.000
Zr 0.310 0.500 0.703
Zr 0.690 0.500 0.297
Sc 0.500 0.000 0.500

Properties
excess energy over the best structure of this formula in the dataset	100.3	meV per atom
E_form	0.2583	eV per atom
final energy	-0.2241	hartree per atom